Li3Mo3P4O16 | Alexandria | PBE with a Hubbard U | relaxed; polymorph energy (0 for the lowest one) = 11.7 meV per atom; electronic total energy = -7.05 eV per atom; theoretical density = 3.365 g/cm3; total moment = 18.00 μB per cell
1.0
7.8011 0.0000 0.0000
0.0000 8.4532 0.0000
-0.3069 0.0000 10.3040
Li Mo P O
6 6 8 32
direct
0.1380 0.0000 0.0757
0.1434 0.9858 0.5794
0.3328 0.7252 0.6651
0.6672 0.2252 0.3349
0.8566 0.4858 0.4206
0.8620 0.5000 0.9243
0.2354 0.3592 0.6229
0.2463 0.3484 0.1256
0.3561 0.7252 0.1813
0.6439 0.2252 0.8187
0.7537 0.8484 0.8744
0.7646 0.8592 0.3771
0.0480 0.1584 0.8613
0.0524 0.1625 0.3601
0.4461 0.5621 0.8879
0.4614 0.5429 0.3994
0.5386 0.0429 0.6006
0.5539 0.0621 0.1121
0.9476 0.6625 0.6399
0.9520 0.6584 0.1387
0.0016 0.4908 0.6003
0.0129 0.4903 0.1016
0.0955 0.7782 0.6427
0.1030 0.7785 0.1234
0.1128 0.1643 0.7214
0.1355 0.1538 0.2231
0.1943 0.2044 0.9592
0.1969 0.2096 0.4606
0.3088 0.5069 0.7891
0.3195 0.5092 0.2867
0.3638 0.5586 0.0272
0.3696 0.5542 0.5282
0.3922 0.9292 0.6020
0.3979 0.9486 0.1040
0.4805 0.2171 0.6486
0.4952 0.2308 0.1437
0.5048 0.7308 0.8563
0.5195 0.7171 0.3514
0.6021 0.4486 0.8960
0.6078 0.4292 0.3980
0.6304 0.0542 0.4718
0.6362 0.0586 0.9728
0.6805 0.0092 0.7133
0.6912 0.0069 0.2109
0.8031 0.7096 0.5394
0.8057 0.7044 0.0408
0.8645 0.6538 0.7769
0.8872 0.6643 0.2786
0.8970 0.2785 0.8766
0.9045 0.2782 0.3573
0.9871 0.9903 0.8984
0.9984 0.9908 0.3997